Record 1
3
Lattice="-5.120 -1.538 -2.411 1.868 -2.676 4.873 -1.588 2.329 1.888" Properties=species:S:1:pos:R:3 comment="KLaCd, optimized geometry, DFT PBE" space_group="P3m1 (156)" delta_e_f_mev_per_atom=208.1 m_tot_mub_per_cell=0.16 pbc="T T T"
La -1.468 -0.822 3.640
Cd -0.058 0.085 0.069
K -3.315 -1.148 0.640



Record 2
4
Lattice="7.888 -0.005 -0.004 -4.653 6.370 -0.004 0.845 1.662 3.251" Properties=species:S:1:pos:R:3 comment="K2LaCd, optimized geometry, DFT PBE" space_group="C2/m (12)" delta_e_f_mev_per_atom=256.8 m_tot_mub_per_cell=0.01 pbc="T T T"
La 4.367 0.829 1.624
K 0.000 0.000 0.000
K 1.618 3.182 -0.004
Cd -1.904 4.016 1.624



Record 3
4
Lattice="4.467 0.000 0.000 0.000 4.467 0.000 0.000 0.000 8.515" Properties=species:S:1:pos:R:3 comment="K2LaCd, optimized geometry, DFT PBE" space_group="P4/mmm (123)" delta_e_f_mev_per_atom=346.9 m_tot_mub_per_cell=1.23 pbc="T T T"
K 0.000 0.000 4.579
K 0.000 0.000 8.194
La 2.234 2.234 2.129
Cd 2.234 2.234 6.386



Record 4
4
Lattice="3.684 0.000 0.000 0.000 3.684 0.000 0.000 0.000 12.614" Properties=species:S:1:pos:R:3 comment="K2LaCd, optimized geometry, DFT PBE" space_group="P4/mmm (123)" delta_e_f_mev_per_atom=240.8 m_tot_mub_per_cell=0.00 pbc="T T T"
K 0.000 0.000 6.745
K 0.000 0.000 12.177
La 1.842 1.842 3.154
Cd 1.842 1.842 9.461